Entry 1:
First-principles (GGA-PBEsol) data for a geometry-optimized ZrCdPb2 structure, as listed in the Alexandria database.

a b c (Å): 10.817 3.200 5.661
angles (deg): 90.00 96.79 90.00
Space group C2/m (No. 12)
Asymmetric unit:
1 Zr 0.000 0.000 0.000 [2 per cell]
2 Cd 0.000 0.500 0.500 [2 per cell]
3 Pb 0.244 0.500 0.240 [4 per cell]

**Crystal system**: monoclinic
**Calculated total energy**: -4.533 eV per atom
**Density of states at the Fermi level**: 2.46 states/eV/f.u.
**ΔE_f**: 0.038 eV per atom

Entry 2:
First-principles (GGA-PBEsol) data for a geometry-optimized AlIr4 structure, as listed in the Alexandria database.

a b c (Å): 6.028 6.028 3.841
angles (deg): 90.00 90.00 90.00
Space group I4/m (No. 87)
Asymmetric unit:
1 Al 0.000 0.000 0.000 [2 per cell]
2 Ir 0.102 0.304 0.500 [8 per cell]

**Crystal system**: tetragonal
**Calculated total energy**: -8.970 eV per atom
**Density of states at the Fermi level**: 3.97 states/eV/f.u.
**ΔE_f**: -0.293 eV per atom

Entry 3:
First-principles (GGA-PBEsol) data for a geometry-optimized Li3V4O11F structure, as listed in the Alexandria database.

a b c (Å): 4.995 5.006 8.199
angles (deg): 91.62 96.13 102.96
Space group P1 (No. 1)
Asymmetric unit:
1 Li 0.000 0.000 0.000 [1 per cell]
2 Li 0.025 0.790 0.584 [1 per cell]
3 Li 0.521 0.316 0.068 [1 per cell]
4 V 0.104 0.572 0.200 [1 per cell]
5 V 0.206 0.389 0.767 [1 per cell]
6 V 0.645 0.092 0.664 [1 per cell]
7 V 0.667 0.877 0.244 [1 per cell]
8 O 0.134 0.426 0.966 [1 per cell]
9 O 0.331 0.905 0.146 [1 per cell]
10 O 0.367 0.693 0.714 [1 per cell]
11 O 0.386 0.473 0.276 [1 per cell]
12 O 0.483 0.212 0.835 [1 per cell]
13 O 0.629 0.944 0.461 [1 per cell]
14 O 0.766 0.686 0.082 [1 per cell]
15 O 0.851 0.191 0.199 [1 per cell]
16 O 0.867 0.408 0.642 [1 per cell]
17 O 0.894 0.967 0.769 [1 per cell]
18 O 0.971 0.702 0.358 [1 per cell]
19 F 0.259 0.166 0.567 [1 per cell]

**Crystal system**: triclinic
**Calculated total energy**: -7.783 eV per atom
**ΔE_f (raw)**: -2304 meV per atom
**Density of states at the Fermi level**: 0.00 states/eV/f.u.

Entry 4:
First-principles (GGA-PBEsol) data for a geometry-optimized KZnAg2 structure, as listed in the Alexandria database.

a b c (Å): 6.072 10.439 2.851
angles (deg): 90.00 114.78 90.00
Space group C2/m (No. 12)
Asymmetric unit:
1 K 0.000 0.000 0.000 [2 per cell]
2 Zn 0.000 0.500 0.000 [2 per cell]
3 Ag 0.250 0.250 0.500 [4 per cell]

**Crystal system**: monoclinic
**Calculated total energy**: -1.972 eV per atom
**Density of states at the Fermi level**: 1.34 states/eV/f.u.
**ΔE_f**: 0.362 eV per atom

Entry 5:
First-principles (GGA-PBEsol) data for a geometry-optimized ScTcSe2 structure, as listed in the Alexandria database.

a b c (Å): 4.241 4.768 6.525
angles (deg): 90.00 90.00 90.00
Space group Immm (No. 71)
Asymmetric unit:
1 Sc 0.000 0.000 0.000 [2 per cell]
2 Tc 0.000 0.000 0.500 [2 per cell]
3 Se 0.000 0.500 0.231 [4 per cell]

**Crystal system**: orthorhombic
**Calculated total energy**: -6.991 eV per atom
**ΔE_f (raw)**: -598 meV per atom
**Density of states at the Fermi level**: 3.97 states/eV/f.u.

Entry 6:
First-principles (GGA-PBEsol) data for a geometry-optimized LiTl2I structure, as listed in the Alexandria database.

a b c (Å): 7.951 7.951 7.951
angles (deg): 90.00 90.00 90.00
Space group Fm-3m (No. 225)
Asymmetric unit:
1 Li 0.000 0.000 0.000 [4 per cell]
2 Tl 0.250 0.250 0.250 [8 per cell]
3 I 0.000 0.000 0.500 [4 per cell]

**Crystal system**: cubic
**Calculated total energy**: -2.281 eV per atom
**ΔE_f (raw)**: -33 meV per atom
**Density of states at the Fermi level**: 3.95 states/eV/f.u.